VASP calculation (PBE) on an optimized crystal structure of Nb2VMo6.

## Properties
Electronic total energy ... -10.225 eV/atom
Polymorph energy (0 for the lowest one) ... 117 meV per atom
Spin magnetization ... 0.0 μB/cell

Lattice parameters (Å, degrees): 5.0566 5.0565 9.6871 141.50 97.41 90.00
Atoms (fractional coordinates):
Mo  0.5001  0.2605  0.0005
Mo  0.8490  0.5429  0.3619
Mo  0.6283  0.3124  0.5415
Mo  0.3717  0.6876  0.4585
Mo  0.4999  0.7395  0.9995
Mo  0.1510  0.4571  0.6381
Nb  0.9392  0.1795  0.7861
Nb  0.0608  0.8205  0.2139
V  0.0000  0.0000  0.0000